DFT (PBE) results for a geometry-optimized CsHf2Te structure.

```
data_CsHf2Te
_chemical_formula_sum 'Cs2 Hf4 Te2'
_space_group_name_H-M_alt 'P 1'
_space_group_IT_number 1
_space_group_name_Hall 'P 1'
_cell_length_a 5.173
_cell_length_b 5.173
_cell_length_c 11.101
_cell_angle_alpha 76.53
_cell_angle_beta 76.53
_cell_angle_gamma 90.00
loop_
_atom_site_label
_atom_site_type_symbol
_atom_site_fract_x
_atom_site_fract_y
_atom_site_fract_z
Cs1 Cs 0.000 0.000 0.000
Cs2 Cs 0.750 0.250 0.500
Te1 Te 0.500 0.500 0.000
Te2 Te 0.250 0.750 0.500
Hf1 Hf 0.474 0.125 0.250
Hf2 Hf 0.276 0.625 0.250
Hf3 Hf 0.375 0.526 0.750
Hf4 Hf 0.875 0.724 0.750
```

Total moment (μB/cell): 0.0
Energy relative to the elements, uncorrected (meV/atom): 643
Crystal system: tetragonal



DFT (PBE) results for a geometry-optimized Rb2TcMoCl6 structure.

```
data_Rb2TcMoCl6
_chemical_formula_sum 'Rb2 Tc1 Mo1 Cl6'
_space_group_name_H-M_alt 'P 1'
_space_group_IT_number 1
_space_group_name_Hall 'P 1'
_cell_length_a 7.354
_cell_length_b 7.354
_cell_length_c 6.907
_cell_angle_alpha 57.84
_cell_angle_beta 57.84
_cell_angle_gamma 90.00
loop_
_atom_site_label
_atom_site_type_symbol
_atom_site_fract_x
_atom_site_fract_y
_atom_site_fract_z
Mo1 Mo 0.500 0.500 0.000
Tc1 Tc 0.000 0.000 0.000
Rb1 Rb 0.750 0.250 0.500
Rb2 Rb 0.250 0.750 0.500
Cl1 Cl 0.248 0.248 0.503
Cl2 Cl 0.752 0.752 0.497
Cl3 Cl 0.247 0.247 0.000
Cl4 Cl 0.753 0.753 0.000
Cl5 Cl 0.753 0.247 0.000
Cl6 Cl 0.247 0.753 0.000
```

Total moment (μB/cell): 3.0
Energy relative to the elements, uncorrected (meV/atom): -820
Crystal system: tetragonal



DFT (PBE) results for a geometry-optimized AcNdOs structure.

```
data_AcNdOs
_chemical_formula_sum 'Ac4 Nd4 Os4'
_space_group_name_H-M_alt 'P 1'
_space_group_IT_number 1
_space_group_name_Hall 'P 1'
_cell_length_a 6.733
_cell_length_b 7.854
_cell_length_c 7.562
_cell_angle_alpha 90.00
_cell_angle_beta 90.00
_cell_angle_gamma 115.38
loop_
_atom_site_label
_atom_site_type_symbol
_atom_site_fract_x
_atom_site_fract_y
_atom_site_fract_z
Os1 Os 0.612 0.224 0.543
Os2 Os 0.888 0.776 0.043
Os3 Os 0.388 0.776 0.457
Os4 Os 0.112 0.224 0.957
Nd1 Nd 0.280 0.059 0.250
Nd2 Nd 0.220 0.941 0.750
Nd3 Nd 0.720 0.941 0.750
Nd4 Nd 0.780 0.059 0.250
Ac1 Ac 0.802 0.605 0.392
Ac2 Ac 0.698 0.395 0.892
Ac3 Ac 0.198 0.395 0.608
Ac4 Ac 0.302 0.605 0.108
```

Total moment (μB/cell): 0.0
Distance to the lowest polymorph of the same formula (kJ per mole of atoms): 3.74
Energy relative to the elements (eV per atom): 0.025
Crystal system: orthorhombic



DFT (PBE) results for a geometry-optimized TlH2Se structure.

```
data_TlH2Se
_chemical_formula_sum 'Tl2 H4 Se2'
_space_group_name_H-M_alt 'P 1'
_space_group_IT_number 1
_space_group_name_Hall 'P 1'
_cell_length_a 5.787
_cell_length_b 5.787
_cell_length_c 5.803
_cell_angle_alpha 60.09
_cell_angle_beta 60.09
_cell_angle_gamma 90.00
loop_
_atom_site_label
_atom_site_type_symbol
_atom_site_fract_x
_atom_site_fract_y
_atom_site_fract_z
H1 H 0.375 0.125 0.250
H2 H 0.375 0.625 0.250
H3 H 0.375 0.625 0.750
H4 H 0.875 0.625 0.750
Tl1 Tl 0.000 0.000 0.000
Tl2 Tl 0.750 0.250 0.500
Se1 Se 0.500 0.500 0.000
Se2 Se 0.250 0.750 0.500
```

Total moment (μB/cell): 1.6
Distance to the lowest polymorph of the same formula (kJ per mole of atoms): 39.86
Crystal system: tetragonal



DFT (PBE) results for a geometry-optimized LaCr2Mo structure.

```
data_LaCr2Mo
_chemical_formula_sum 'La1 Cr2 Mo1'
_space_group_name_H-M_alt 'P 1'
_space_group_IT_number 1
_space_group_name_Hall 'P 1'
_cell_length_a 5.119
_cell_length_b 5.119
_cell_length_c 2.927
_cell_angle_alpha 77.90
_cell_angle_beta 77.90
_cell_angle_gamma 112.07
loop_
_atom_site_label
_atom_site_type_symbol
_atom_site_fract_x
_atom_site_fract_y
_atom_site_fract_z
Cr1 Cr 0.000 0.000 0.000
Cr2 Cr 0.500 0.500 0.000
La1 La 0.500 0.000 0.500
Mo1 Mo 0.000 0.500 0.500
```

Total moment (μB/cell): 0.0
Distance to the lowest polymorph of the same formula (kJ per mole of atoms): 38.69
Energy relative to the elements (eV per atom): 0.829
Crystal system: monoclinic



DFT (PBE) results for a geometry-optimized CsThAg2Te4 structure.

```
data_CsThAg2Te4
_chemical_formula_sum 'Cs1 Th1 Ag2 Te4'
_space_group_name_H-M_alt 'P 1'
_space_group_IT_number 1
_space_group_name_Hall 'P 1'
_cell_length_a 7.009
_cell_length_b 7.447
_cell_length_c 7.447
_cell_angle_alpha 73.12
_cell_angle_beta 61.93
_cell_angle_gamma 61.93
loop_
_atom_site_label
_atom_site_type_symbol
_atom_site_fract_x
_atom_site_fract_y
_atom_site_fract_z
Cs1 Cs 0.000 0.000 0.000
Th1 Th 0.500 0.500 0.500
Ag1 Ag 0.151 0.349 0.349
Ag2 Ag 0.849 0.651 0.651
Te1 Te 0.475 0.099 0.516
Te2 Te 0.091 0.901 0.484
Te3 Te 0.909 0.516 0.099
Te4 Te 0.525 0.484 0.901
```

Total moment (μB/cell): 0.0
Energy relative to the elements, uncorrected (meV/atom): -515
Crystal system: orthorhombic



DFT (PBE) results for a geometry-optimized NdUNi10 structure.

```
data_NdUNi10
_chemical_formula_sum 'Nd1 U1 Ni10'
_space_group_name_H-M_alt 'P 1'
_space_group_IT_number 1
_space_group_name_Hall 'P 1'
_cell_length_a 3.990
_cell_length_b 4.887
_cell_length_c 8.433
_cell_angle_alpha 90.00
_cell_angle_beta 90.00
_cell_angle_gamma 90.00
loop_
_atom_site_label
_atom_site_type_symbol
_atom_site_fract_x
_atom_site_fract_y
_atom_site_fract_z
Nd1 Nd 0.000 0.000 0.000
U1 U 0.000 0.500 0.500
Ni1 Ni 0.000 0.000 0.341
Ni2 Ni 0.000 0.500 0.817
Ni3 Ni 0.000 0.500 0.183
Ni4 Ni 0.000 0.000 0.659
Ni5 Ni 0.500 0.000 0.500
Ni6 Ni 0.500 0.500 0.000
Ni7 Ni 0.500 0.255 0.258
Ni8 Ni 0.500 0.745 0.742
Ni9 Ni 0.500 0.745 0.258
Ni10 Ni 0.500 0.255 0.742
```

Total moment (μB/cell): 0.8
Energy relative to the elements (eV per atom): -0.254
Crystal system: orthorhombic



DFT (PBE) results for a geometry-optimized TaMnSe2N structure.

```
data_TaMnSe2N
_chemical_formula_sum 'Ta1 Mn1 Se2 N1'
_space_group_name_H-M_alt 'P 1'
_space_group_IT_number 1
_space_group_name_Hall 'P 1'
_cell_length_a 4.899
_cell_length_b 4.899
_cell_length_c 3.436
_cell_angle_alpha 90.00
_cell_angle_beta 90.00
_cell_angle_gamma 90.00
loop_
_atom_site_label
_atom_site_type_symbol
_atom_site_fract_x
_atom_site_fract_y
_atom_site_fract_z
N1 N 0.000 0.000 0.500
Mn1 Mn 0.000 0.000 0.000
Se1 Se 0.000 0.500 0.000
Se2 Se 0.500 0.000 0.000
Ta1 Ta 0.500 0.500 0.500
```

Total moment (μB/cell): 2.8
Distance to the lowest polymorph of the same formula (kJ per mole of atoms): 33.86
Energy relative to the elements, uncorrected (meV/atom): 396
Crystal system: tetragonal



DFT (PBE) results for a geometry-optimized TlZnO2 structure.

```
data_TlZnO2
_chemical_formula_sum 'Tl2 Zn2 O4'
_space_group_name_H-M_alt 'P 1'
_space_group_IT_number 1
_space_group_name_Hall 'P 1'
_cell_length_a 5.097
_cell_length_b 5.097
_cell_length_c 6.079
_cell_angle_alpha 65.21
_cell_angle_beta 65.21
_cell_angle_gamma 90.00
loop_
_atom_site_label
_atom_site_type_symbol
_atom_site_fract_x
_atom_site_fract_y
_atom_site_fract_z
Tl1 Tl 0.000 0.000 0.000
Tl2 Tl 0.750 0.250 0.500
Zn1 Zn 0.500 0.500 0.000
Zn2 Zn 0.250 0.750 0.500
O1 O 0.569 0.125 0.250
O2 O 0.181 0.625 0.250
O3 O 0.375 0.431 0.750
O4 O 0.875 0.819 0.750
```

Total moment (μB/cell): 0.0
Distance to the lowest polymorph of the same formula (kJ per mole of atoms): 0.00
Energy relative to the elements, uncorrected (meV/atom): -934
Crystal system: tetragonal



DFT (PBE) results for a geometry-optimized SrZrHg structure.

```
data_SrZrHg
_chemical_formula_sum 'Sr2 Zr2 Hg2'
_space_group_name_H-M_alt 'P 1'
_space_group_IT_number 1
_space_group_name_Hall 'P 1'
_cell_length_a 5.398
_cell_length_b 3.818
_cell_length_c 12.216
_cell_angle_alpha 90.00
_cell_angle_beta 90.00
_cell_angle_gamma 134.98
loop_
_atom_site_label
_atom_site_type_symbol
_atom_site_fract_x
_atom_site_fract_y
_atom_site_fract_z
Hg1 Hg 0.694 0.389 0.000
Hg2 Hg 0.194 0.389 0.500
Sr1 Sr 0.694 0.389 0.328
Sr2 Sr 0.694 0.389 0.672
Zr1 Zr 0.194 0.389 0.884
Zr2 Zr 0.194 0.389 0.116
```

Total moment (μB/cell): 2.7
Distance to the lowest polymorph of the same formula (kJ per mole of atoms): 14.26
Energy relative to the elements (eV per atom): 0.046
Crystal system: tetragonal



DFT (PBE) results for a geometry-optimized Dy3NpTl3Te8 structure.

```
data_Dy3NpTl3Te8
_chemical_formula_sum 'Dy3 Np1 Tl3 Te8'
_space_group_name_H-M_alt 'P 1'
_space_group_IT_number 1
_space_group_name_Hall 'P 1'
_cell_length_a 8.828
_cell_length_b 8.827
_cell_length_c 9.692
_cell_angle_alpha 117.08
_cell_angle_beta 90.00
_cell_angle_gamma 120.01
loop_
_atom_site_label
_atom_site_type_symbol
_atom_site_fract_x
_atom_site_fract_y
_atom_site_fract_z
Dy1 Dy 0.500 0.000 0.500
Dy2 Dy 0.500 0.500 0.500
Dy3 Dy 0.000 0.500 0.500
Np1 Np 0.000 0.000 0.500
Tl1 Tl 0.000 0.000 0.000
Tl2 Tl 0.000 0.500 0.000
Tl3 Tl 0.500 0.500 0.000
Te1 Te 0.262 0.524 0.286
Te2 Te 0.738 0.476 0.714
Te3 Te 0.763 0.527 0.288
Te4 Te 0.237 0.473 0.712
Te5 Te 0.763 0.025 0.288
Te6 Te 0.237 0.975 0.712
Te7 Te 0.262 0.025 0.288
Te8 Te 0.738 0.975 0.712
```

Total moment (μB/cell): 3.0
Energy relative to the elements, uncorrected (meV/atom): -955
Crystal system: trigonal



DFT (PBE) results for a geometry-optimized CaP structure.

```
data_CaP
_chemical_formula_sum 'Ca3 P3'
_space_group_name_H-M_alt 'P 1'
_space_group_IT_number 1
_space_group_name_Hall 'P 1'
_cell_length_a 5.514
_cell_length_b 5.514
_cell_length_c 7.622
_cell_angle_alpha 79.00
_cell_angle_beta 79.00
_cell_angle_gamma 40.17
loop_
_atom_site_label
_atom_site_type_symbol
_atom_site_fract_x
_atom_site_fract_y
_atom_site_fract_z
Ca1 Ca 0.060 0.060 0.020
Ca2 Ca 0.255 0.255 0.342
Ca3 Ca 0.415 0.415 0.686
P1 P 0.682 0.682 0.754
P2 P 0.969 0.969 0.386
P3 P 0.786 0.786 0.979
```

Total moment (μB/cell): 0.0
Energy relative to the elements (eV per atom): -0.897
Crystal system: monoclinic